No. 1
Ho3Te6Au PBE relaxed; total energy = -90.69 eV per cell; DOS at the Fermi energy = 10.2 states/eV/cell; mass density = 7.70 g/cm³; space-group type = Cmc2_1, No. 36; uncorrected formation energy = -91.49 kJ/mol of atoms
1.0
-1.133 5.874 4.454
-8.734 -2.638 1.258
3.539 -4.693 7.090
Ho Te Au
6 12 2
direct
0.478 0.919 0.730
0.978 0.730 0.919
0.374 0.396 0.604
0.874 0.604 0.396
0.978 0.081 0.270
0.478 0.270 0.081
0.178 0.702 0.620
0.678 0.620 0.702
0.213 0.459 0.914
0.713 0.914 0.459
0.179 0.037 0.963
0.662 0.223 0.777
0.162 0.777 0.223
0.679 0.963 0.037
0.213 0.086 0.541
0.713 0.541 0.086
0.178 0.380 0.298
0.678 0.298 0.380
0.032 0.233 0.767
0.532 0.767 0.233



No. 2
CaCrAu3 PBE relaxed; formation energy = 1.3536 eV per atom; total energy = -14.69 eV per cell; DOS at the Fermi energy = 13.7 states/eV/cell; mass density = 7.99 g/cm³; space-group type = Pm-3m, No. 221; ΔE to the lowest computed polymorph = 1125 meV/atom
1.0
5.217 0.000 0.000
0.000 5.217 0.000
0.000 0.000 5.217
Cr Ca Au
1 1 3
direct
0.500 0.500 0.500
0.000 0.000 0.000
0.000 0.500 0.000
0.000 0.000 0.500
0.500 0.000 0.000



No. 3
Pa2Al3Au2 PBE relaxed; formation energy = -0.3150 eV per atom; total energy = -77.96 eV per cell; DOS at the Fermi energy = 15.7 states/eV/cell; mass density = 10.66 g/cm³; space-group type = Cmcm, No. 63; ΔE to the lowest computed polymorph = 0 meV/atom
1.0
-0.003 -3.756 -2.347
1.574 -3.609 5.774
-9.190 0.757 2.979
Pa Al Au
4 6 4
direct
0.154 0.250 0.307
0.846 0.750 0.693
0.957 0.250 0.914
0.043 0.750 0.086
0.218 0.750 0.436
0.782 0.250 0.564
0.560 0.431 0.120
0.440 0.569 0.880
0.440 0.931 0.880
0.560 0.069 0.120
0.688 0.954 0.376
0.312 0.046 0.624
0.312 0.454 0.624
0.688 0.546 0.376



No. 4
Cs3Rb3CaF8 PBE relaxed; total energy = -66.15 eV per cell; DOS at the Fermi energy = 0.0 states/eV/cell; mass density = 3.61 g/cm³; space-group type = R-3m, No. 166; uncorrected formation energy = -281.21 kJ/mol of atoms
1.0
8.117 0.000 0.000
-4.059 7.029 -0.025
0.000 -4.664 6.844
Cs Rb Ca F
3 3 1 8
direct
0.000 0.000 0.000
0.000 0.500 0.000
0.500 0.500 0.000
0.500 0.000 0.500
0.500 0.500 0.500
0.000 0.500 0.500
0.000 0.000 0.500
0.256 0.512 0.267
0.744 0.488 0.733
0.800 0.600 0.308
0.200 0.400 0.692
0.800 0.008 0.308
0.200 0.992 0.692
0.208 0.008 0.308
0.792 0.992 0.692



No. 5
Ce2Hg2Au PBE relaxed; formation energy = -0.3757 eV per atom; total energy = -35.25 eV per cell; DOS at the Fermi energy = 23.1 states/eV/cell; mass density = 11.75 g/cm³; space-group type = C2/m, No. 12; ΔE to the lowest computed polymorph = 0 meV/atom
1.0
-2.670 -4.186 -1.428
1.794 -4.719 1.134
-1.456 -6.238 11.663
Ce Hg Au
4 4 2
direct
0.455 0.724 0.866
0.955 0.224 0.366
0.545 0.276 0.134
0.045 0.776 0.634
0.345 0.275 0.535
0.155 0.225 0.965
0.655 0.725 0.465
0.845 0.775 0.035
0.250 0.750 0.250
0.750 0.250 0.750



No. 6
LiThSb PBE relaxed; total energy = -29.31 eV per cell; DOS at the Fermi energy = 3.1 states/eV/cell; mass density = 7.01 g/cm³; space-group type = P4/nmm, No. 129; ΔE to the lowest computed polymorph = 285 meV/atom; uncorrected formation energy = -38.50 kJ/mol of atoms
1.0
4.604 0.000 0.000
0.000 4.604 0.000
0.000 0.000 8.064
Li Sb Th
2 2 2
direct
0.000 0.500 0.857
0.500 0.000 0.143
0.000 0.500 0.212
0.500 0.000 0.788
0.500 0.500 0.500
0.000 0.000 0.500